Below is a relaxed Eu2UGa crystal, with properties calculated at the PBE level.

Unit cell a=11.857 b=11.857 c=11.857 alpha=15.69 beta=15.69 gamma=15.69
Element x y z (fractional)
Eu  0.093  0.093  0.093
Eu  0.907  0.907  0.907
U  0.000  0.000  0.000
Ga  0.500  0.500  0.500

Calculated values
ΔE_f	37	kJ/mol of atoms
total magnetic moment	12.491	μB/f.u.
total energy	-0.6128	Ry/atom

***

Below is a relaxed Pr2Er5Tm crystal, with properties calculated at the PBE level.

Unit cell a=10.626 b=10.626 c=10.626 alpha=152.54 beta=152.54 gamma=39.23
Element x y z (fractional)
Pr  0.250  0.250  0.000
Pr  0.750  0.750  0.000
Er  0.000  0.000  0.000
Er  0.122  0.622  0.500
Er  0.378  0.878  0.500
Er  0.622  0.122  0.500
Er  0.878  0.378  0.500
Tm  0.500  0.500  0.000

Calculated values
ΔE_f	3	kJ/mol of atoms
energy above the most stable polymorph in this dataset	0.31	kJ per mole of atoms
total magnetic moment	0.000	μB/f.u.
total energy	-0.3363	Ry/atom

***

Below is a relaxed CuMo2Ir2 crystal, with properties calculated at the PBE level.

Unit cell a=7.665 b=7.665 c=2.749 alpha=90.00 beta=90.00 gamma=90.00
Element x y z (fractional)
Cu  0.000  0.000  0.000
Cu  0.500  0.500  0.000
Mo  0.123  0.377  0.000
Mo  0.377  0.877  0.000
Mo  0.623  0.123  0.000
Mo  0.877  0.623  0.000
Ir  0.169  0.669  0.500
Ir  0.331  0.169  0.500
Ir  0.669  0.831  0.500
Ir  0.831  0.331  0.500

Calculated values
ΔE_f	15	kJ/mol of atoms
energy above the most stable polymorph in this dataset	10.09	kJ per mole of atoms
total magnetic moment	0.000	μB/f.u.
total energy	-0.6281	Ry/atom